Density functional theory data (PBE-GGA) for a relaxed structure of Li2HoTiS4.

Values from the calculation:
Total magnetization: 0.98 μB per cell
ΔE_f (raw): -1219 kJ/mol of formula units
Energy: -45.447 eV/cell
Space group: P2/m, No. 10

Cell and atoms, written as POSCAR:
```
Li2HoTiS4
1.0
3.6980 0.0000 0.0000
0.0000 6.4345 0.1115
0.0000 -2.2471 6.1028
S Li Ho Ti
4 2 1 1
direct
0.5000 0.7315 0.7515
0.0000 0.2708 0.7618
0.5000 0.2685 0.2485
0.0000 0.7292 0.2382
0.0000 0.5000 0.5000
0.5000 0.0000 0.5000
0.0000 0.0000 0.0000
0.5000 0.5000 0.0000
```